(1)
First-principles (PBE) data for a relaxed BaAcAg3 crystal, as listed in the Alexandria database.

The calculation puts the volume at 31.274 Å³ per atom. Its total magnetic moment is 0.00 μB per formula unit. For the formation energy, the calculation gives -264 meV per atom. The total energy is -3.181 eV/atom.

Geometry as CIF:
```
data_BaAcAg3
_space_group_name_H-M_alt 'C m c m'
_space_group_IT_number 63
_space_group_name_Hall '-C 2c 2'
_cell_length_a 4.334
_cell_length_b 29.675
_cell_length_c 4.864
_cell_angle_alpha 90.00
_cell_angle_beta 90.00
_cell_angle_gamma 90.00
loop_
_atom_site_label
_atom_site_fract_x
_atom_site_fract_y
_atom_site_fract_z
Ba1 0.000 0.073 0.250
Ac1 0.000 0.206 0.750
Ag1 0.000 0.324 0.750
Ag2 0.000 0.379 0.250
Ag3 0.000 0.475 0.250
```

=====

(2)
First-principles (PBE) data for a relaxed Ta2Mn crystal, as listed in the Alexandria database.

The calculation puts the volume at 16.295 Å³ per atom. Its total magnetic moment is 1.38 μB per formula unit. For the formation energy, the calculation gives 177 meV per atom. The total energy is -10.782 eV/atom.

Geometry as CIF:
```
data_Ta2Mn
_space_group_name_H-M_alt 'I 41/a m d'
_space_group_IT_number 141
_cell_length_a 3.768
_cell_length_b 3.768
_cell_length_c 27.552
_cell_angle_alpha 90.00
_cell_angle_beta 90.00
_cell_angle_gamma 90.00
loop_
_space_group_symop_operation_xyz
'x,y,z'
'-x,-y,-z'
'-y+1/4,x+3/4,z+1/4'
'y+1/4,-x+3/4,-z+1/4'
'-x+1/2,-y,z+1/2'
'x+1/2,y,-z+1/2'
'y+1/4,-x+1/4,z+3/4'
'-y+1/4,x+1/4,-z+3/4'
'x,-y,-z'
'-x,y,z'
'-y+1/4,-x+1/4,-z+3/4'
'y+1/4,x+1/4,z+3/4'
'-x+1/2,y,-z+1/2'
'x+1/2,-y,z+1/2'
'y+1/4,x+3/4,-z+1/4'
'-y+1/4,-x+3/4,z+1/4'
'x+1/2,y+1/2,z+1/2'
'-x+1/2,-y+1/2,-z+1/2'
'-y+3/4,x+1/4,z+3/4'
'y+3/4,-x+1/4,-z+3/4'
'-x,-y+1/2,z'
'x,y+1/2,-z'
'y+3/4,-x+3/4,z+1/4'
'-y+3/4,x+3/4,-z+1/4'
'x+1/2,-y+1/2,-z+1/2'
'-x+1/2,y+1/2,z+1/2'
'-y+3/4,-x+3/4,-z+1/4'
'y+3/4,x+3/4,z+1/4'
'-x,y+1/2,-z'
'x,-y+1/2,z'
'y+3/4,x+1/4,-z+3/4'
'-y+3/4,-x+1/4,z+3/4'
loop_
_atom_site_label
_atom_site_fract_x
_atom_site_fract_y
_atom_site_fract_z
Ta1 0.000 0.250 0.125
Ta2 0.000 0.250 0.290
Mn1 0.000 0.250 0.789
```

=====

(3)
First-principles (PBE) data for a relaxed TcRh2Br crystal, as listed in the Alexandria database.

The calculation puts the volume at 21.971 Å³ per atom. Its uncorrected formation energy is 3.13 eV/f.u. The distance to the lowest polymorph of the same formula is 444 meV/atom. Its total magnetic moment is 0.00 μB per formula unit. The total energy is -5.903 eV/atom.

Geometry as CIF:
```
data_TcRh2Br
_space_group_name_H-M_alt 'I -4 2 d'
_space_group_IT_number 122
_space_group_name_Hall 'I -4 2bw'
_cell_length_a 6.159
_cell_length_b 6.159
_cell_length_c 9.266
_cell_angle_alpha 90.00
_cell_angle_beta 90.00
_cell_angle_gamma 90.00
loop_
_atom_site_label
_atom_site_fract_x
_atom_site_fract_y
_atom_site_fract_z
Tc1 0.000 0.000 0.000
Rh1 0.221 0.250 0.125
Br1 0.000 0.000 0.500
```

=====

(4)
First-principles (PBE) data for a relaxed Hf2ZnHPt crystal, as listed in the Alexandria database.

The calculation puts the volume at 14.712 Å³ per atom. Its total magnetic moment is 0.00 μB per formula unit. The total energy is -6.574 eV/atom.

Geometry as CIF:
```
data_Hf2ZnHPt
_space_group_name_H-M_alt 'P 4/m m m'
_space_group_IT_number 123
_space_group_name_Hall '-P 4 2'
_cell_length_a 4.254
_cell_length_b 4.254
_cell_length_c 4.064
_cell_angle_alpha 90.00
_cell_angle_beta 90.00
_cell_angle_gamma 90.00
loop_
_atom_site_label
_atom_site_fract_x
_atom_site_fract_y
_atom_site_fract_z
Hf1 0.000 0.500 0.000
Zn1 0.000 0.000 0.500
H1 0.000 0.000 0.000
Pt1 0.500 0.500 0.500
```

=====

(5)
First-principles (PBE) data for a relaxed KTiCdSe2 crystal, as listed in the Alexandria database.

The calculation puts the volume at 33.769 Å³ per atom. Its uncorrected formation energy is 5.04 eV/f.u. Its total magnetic moment is 0.29 μB per formula unit. The total energy is -2.367 eV/atom.

Geometry as CIF:
```
data_KTiCdSe2
_space_group_name_H-M_alt 'P 4/m m m'
_space_group_IT_number 123
_space_group_name_Hall '-P 4 2'
_cell_length_a 5.627
_cell_length_b 5.627
_cell_length_c 5.333
_cell_angle_alpha 90.00
_cell_angle_beta 90.00
_cell_angle_gamma 90.00
loop_
_atom_site_label
_atom_site_fract_x
_atom_site_fract_y
_atom_site_fract_z
K1 0.000 0.000 0.000
Ti1 0.500 0.500 0.500
Cd1 0.000 0.000 0.500
Se1 0.000 0.500 0.000
```

=====

(6)
First-principles (PBE) data for a relaxed CaSiAs2 crystal, as listed in the Alexandria database.

The calculation puts the volume at 26.623 Å³ per atom. Its uncorrected formation energy is -1.57 eV/f.u. Its total magnetic moment is 0.00 μB per formula unit. The total energy is -4.574 eV/atom.

Geometry as CIF:
```
data_CaSiAs2
_space_group_name_H-M_alt 'P 1 m 1'
_space_group_IT_number 6
_cell_length_a 4.503
_cell_length_b 3.825
_cell_length_c 6.276
_cell_angle_alpha 90.00
_cell_angle_beta 99.85
_cell_angle_gamma 90.00
loop_
_space_group_symop_operation_xyz
'x,y,z'
'x,-y,z'
loop_
_atom_site_label
_atom_site_fract_x
_atom_site_fract_y
_atom_site_fract_z
Ca1 0.000 0.000 0.000
Si1 0.344 0.500 0.682
As1 0.117 0.000 0.501
As2 0.517 0.500 0.048
```

=====

Number 4 is which compound? Hf2ZnHPt

=====

Please write out number 6 again, unchanged.
First-principles (PBE) data for a relaxed CaSiAs2 crystal, as listed in the Alexandria database.

The calculation puts the volume at 26.623 Å³ per atom. Its uncorrected formation energy is -1.57 eV/f.u. Its total magnetic moment is 0.00 μB per formula unit. The total energy is -4.574 eV/atom.

Geometry as CIF:
```
data_CaSiAs2
_space_group_name_H-M_alt 'P 1 m 1'
_space_group_IT_number 6
_cell_length_a 4.503
_cell_length_b 3.825
_cell_length_c 6.276
_cell_angle_alpha 90.00
_cell_angle_beta 99.85
_cell_angle_gamma 90.00
loop_
_space_group_symop_operation_xyz
'x,y,z'
'x,-y,z'
loop_
_atom_site_label
_atom_site_fract_x
_atom_site_fract_y
_atom_site_fract_z
Ca1 0.000 0.000 0.000
Si1 0.344 0.500 0.682
As1 0.117 0.000 0.501
As2 0.517 0.500 0.048
```